A plane-wave DFT calculation with PBE-GGA was carried out for NaTaRe2W after structural relaxation.

Lattice parameters (Å, degrees): 4.8263 4.8263 4.8923 90.00 90.00 90.00
Element x y z (fractional)
Na  0.0000  0.0000  0.0000
Ta  0.5000  0.5000  0.0000
Re  0.0000  0.5000  0.5000
Re  0.5000  0.0000  0.5000
W  0.5000  0.5000  0.5000

Calculated values
ΔH_f (0 K) = 1862 meV/atom

***

A plane-wave DFT calculation with PBE-GGA was carried out for Tb6HoAg after structural relaxation.

Lattice parameters (Å, degrees): 6.2835 6.2835 6.2835 95.45 95.45 95.45
Element x y z (fractional)
Tb  0.0442  0.7617  0.5690
Tb  0.2383  0.4310  0.9558
Tb  0.4310  0.9558  0.2383
Tb  0.5690  0.0442  0.7617
Tb  0.7617  0.5690  0.0442
Tb  0.9558  0.2383  0.4310
Ho  0.5000  0.5000  0.5000
Ag  0.0000  0.0000  0.0000

Calculated values
ΔH_f (0 K) = 43 meV/atom

***

A plane-wave DFT calculation with PBE-GGA was carried out for BaSm2Au after structural relaxation.

Lattice parameters (Å, degrees): 11.5130 11.5130 11.5130 19.93 19.93 19.93
Element x y z (fractional)
Ba  0.0000  0.0000  0.0000
Sm  0.1115  0.1115  0.1115
Sm  0.8885  0.8885  0.8885
Au  0.5000  0.5000  0.5000

Calculated values
ΔH_f (0 K) = -104 meV/atom
Relative energy among the computed polymorphs = 0.164 eV per atom

***

A plane-wave DFT calculation with PBE-GGA was carried out for Pr4Sm10Dy after structural relaxation.

Lattice parameters (Å, degrees): 8.8126 8.8126 8.8126 111.40 111.40 105.68
Element x y z (fractional)
Pr  0.0602  0.6711  0.7313
Pr  0.3289  0.0602  0.3891
Pr  0.6711  0.9398  0.6109
Pr  0.9398  0.3289  0.2687
Sm  0.1312  0.2238  0.6776
Sm  0.2238  0.5462  0.0925
Sm  0.2500  0.7500  0.5000
Sm  0.4536  0.1312  0.9075
Sm  0.4538  0.5464  0.6776
Sm  0.5462  0.4536  0.3224
Sm  0.5464  0.8688  0.0925
Sm  0.7500  0.2500  0.5000
Sm  0.7762  0.4538  0.9075
Sm  0.8688  0.7762  0.3224
Dy  0.0000  0.0000  0.0000

Calculated values
ΔH_f (0 K) = 321 meV/atom

***

A plane-wave DFT calculation with PBE-GGA was carried out for TbHPb after structural relaxation.

Lattice parameters (Å, degrees): 6.3159 6.3159 6.3159 150.02 150.02 42.91
Element x y z (fractional)
Tb  0.0000  0.0000  0.0000
H  0.5405  0.5405  0.0000
Pb  0.2784  0.2784  0.0000

Calculated values
Relative energy among the computed polymorphs = 0.274 eV per atom

***

A plane-wave DFT calculation with PBE-GGA was carried out for Pm3FeB2N6 after structural relaxation.

Lattice parameters (Å, degrees): 5.3965 5.3965 6.0799 90.00 90.00 120.00
Element x y z (fractional)
Pm  0.0000  0.0000  0.0000
Pm  0.3333  0.6667  0.6670
Pm  0.6667  0.3333  0.3330
Fe  0.0000  0.0000  0.5000
B  0.3333  0.6667  0.2606
B  0.6667  0.3333  0.7394
N  0.1784  0.3569  0.2875
N  0.1784  0.8216  0.2875
N  0.3569  0.1784  0.7125
N  0.6431  0.8216  0.2875
N  0.8216  0.1784  0.7125
N  0.8216  0.6431  0.7125

Calculated values
ΔE_f (raw) = -859 meV per atom